1 | A plane-wave DFT calculation with GGA-PBE was carried out for a relaxed structure of Ni2C.

Cell lengths 5.2571, 5.2571, 4.0405 Å; angles 90.00, 90.00, 148.44 degrees
Closest atoms and distances in Å follow each position.
Positions (direct):
Ni  0.1905  0.8095  0.7500  4 C 1.99-2.03
Ni  0.4385  0.5615  0.7500  2 C 1.82
Ni  0.5615  0.4385  0.2500  2 C 1.82
Ni  0.8095  0.1905  0.2500  4 C 1.99-2.03
C  0.8266  0.1734  0.7500  6 Ni 1.82-2.03
C  0.1734  0.8266  0.2500  6 Ni 1.82-2.03

Computed properties:
**Space-group type**: Cmcm, No. 63
**N(E_F)**: 3.1 states/eV per cell

---

2 | A plane-wave DFT calculation with GGA-PBE was carried out for a relaxed structure of Ni2C.

Cell lengths 5.1610, 4.7865, 2.7448 Å; angles 81.67, 66.58, 31.75 degrees
Closest atoms and distances in Å follow each position.
Positions (direct):
Ni  0.3665  0.3665  0.6335  2 C 1.84
Ni  0.6335  0.6335  0.3665  2 C 1.84
C  0.0000  0.0000  0.0000  4 Ni 1.84

Computed properties:
**Space-group type**: Fmmm, No. 69
**N(E_F)**: 1.3 states/eV per cell

---

2 is the least stable structure shown above.